1.
An optimized crystal structure of CsLiAg. Source: the Open Quantum Materials Database, functional PBE.

Structure (POSCAR):
```
CsLiAg
1.0
-4.909 -2.660 -1.382
-4.006 -0.916 4.024
-4.934 2.953 -0.129
Ag Cs Li
1 1 1
direct
0.000 0.000 0.000
0.250 0.250 0.250
0.750 0.750 0.750
```

Computed properties:
space group	F-43m
E	-1.58	eV per atom

2.
An optimized crystal structure of CsLuAg. Source: the Open Quantum Materials Database, functional PBE.

Structure (POSCAR):
```
CsLuAg
1.0
0.000 3.894 3.894
3.894 0.000 3.894
3.894 3.894 0.000
Ag Cs Lu
1 1 1
direct
0.000 0.000 0.000
0.250 0.250 0.250
0.750 0.750 0.750
```

Computed properties:
space group	F-43m
E	-2.09	eV per atom

3.
An optimized crystal structure of CsLuAg. Source: the Open Quantum Materials Database, functional PBE.

Structure (POSCAR):
```
CsLuAg
1.0
0.000 4.032 4.032
4.032 0.000 4.032
4.032 4.032 0.000
Ag Cs Lu
1 1 1
direct
0.250 0.250 0.250
0.000 0.000 0.000
0.750 0.750 0.750
```

Computed properties:
space group	F-43m
E	-1.60	eV per atom

4.
An optimized crystal structure of CsLuAgSe3. Source: the Open Quantum Materials Database, functional PBE.

Structure (POSCAR):
```
CsLuAgSe3
1.0
2.039 -8.151 0.000
2.039 8.151 0.000
0.000 0.000 10.695
Ag Cs Lu Se
2 2 2 6
direct
0.961 0.039 0.250
0.039 0.961 0.750
0.250 0.750 0.250
0.750 0.250 0.750
0.500 0.500 0.000
0.500 0.500 0.500
0.882 0.118 0.040
0.565 0.435 0.250
0.882 0.118 0.460
0.118 0.882 0.540
0.435 0.565 0.750
0.118 0.882 0.960
```

Computed properties:
space group	Cmcm
E	-4.23	eV per atom

5.
An optimized crystal structure of CsRbAg2MoSe4. Source: the Open Quantum Materials Database, functional PBE.

Structure (POSCAR):
```
CsRbAg2MoSe4
1.0
6.335 0.000 0.000
0.000 6.283 0.000
-2.978 0.000 7.042
Ag Cs Mo Rb Se
2 1 1 1 4
direct
0.500 0.001 0.500
0.000 0.499 0.500
0.500 0.267 0.000
0.000 0.997 0.500
0.000 0.743 0.000
0.119 0.218 0.288
0.678 0.778 0.288
0.322 0.778 0.712
0.881 0.218 0.712
```

Computed properties:
space group	P2
E	-4.16	eV per atom

6.
An optimized crystal structure of CsRbAg2Te4Mo. Source: the Open Quantum Materials Database, functional PBE.

Structure (POSCAR):
```
CsRbAg2Te4Mo
1.0
-0.853 -3.160 -5.779
-0.966 -5.665 3.241
-6.868 2.915 3.048
Ag Cs Mo Rb Te
2 1 1 1 4
direct
0.000 0.001 0.500
0.500 0.500 0.500
0.000 0.261 0.000
0.500 0.997 0.500
0.500 0.746 0.000
0.625 0.227 0.286
0.168 0.770 0.286
0.832 0.770 0.714
0.375 0.227 0.714
```

Computed properties:
space group	P2
E	-3.84	eV per atom

7.
An optimized crystal structure of CsAg3MoS4. Source: the Open Quantum Materials Database, functional PBE.

Structure (POSCAR):
```
CsAg3MoS4
1.0
6.402 0.000 0.000
0.000 6.402 0.000
0.000 0.000 6.402
Ag Cs Mo S
3 1 1 4
direct
0.500 0.500 0.000
0.500 0.000 0.500
0.000 0.500 0.500
0.000 0.000 0.000
0.500 0.500 0.500
0.291 0.291 0.291
0.709 0.709 0.291
0.709 0.291 0.709
0.291 0.709 0.709
```

Computed properties:
space group	P-43m
E	-4.44	eV per atom

8.
An optimized crystal structure of Cs2Ag2MoS4. Source: the Open Quantum Materials Database, functional PBE.

Structure (POSCAR):
```
Cs2Ag2MoS4
1.0
6.151 0.000 0.000
0.000 6.151 0.000
0.000 0.000 13.874
Ag Cs Mo S
4 4 2 8
direct
0.500 0.000 0.250
0.000 0.500 0.250
0.500 0.000 0.750
0.000 0.500 0.750
0.267 0.267 0.000
0.733 0.733 0.000
0.733 0.267 0.500
0.267 0.733 0.500
0.000 0.000 0.250
0.000 0.000 0.750
0.785 0.215 0.149
0.215 0.785 0.149
0.215 0.215 0.351
0.785 0.785 0.351
0.215 0.215 0.649
0.785 0.785 0.649
0.785 0.215 0.851
0.215 0.785 0.851
```

Computed properties:
space group	P4_2/mcm
E	-4.48	eV per atom

9.
An optimized crystal structure of Cs2Ag2MoS4. Source: the Open Quantum Materials Database, functional PBE.

Structure (POSCAR):
```
Cs2Ag2MoS4
1.0
2.700 0.648 -7.124
-6.809 1.621 3.077
1.927 5.719 1.251
Ag Cs Mo S
2 2 1 4
direct
0.500 0.500 0.000
0.000 0.000 0.500
0.500 0.000 0.263
0.000 0.500 0.737
0.000 0.000 0.000
0.118 0.315 0.216
0.882 0.685 0.216
0.315 0.118 0.784
0.685 0.882 0.784
```

Computed properties:
space group	C222
E	-4.48	eV per atom

10.
An optimized crystal structure of CsAgMoSe3. Source: the Open Quantum Materials Database, functional PBE.

Structure (POSCAR):
```
CsAgMoSe3
1.0
8.885 0.000 0.000
0.000 3.968 0.000
-4.230 0.000 9.440
Ag Cs Mo Se
2 2 2 6
direct
0.568 0.250 0.109
0.432 0.750 0.891
0.249 0.750 0.228
0.751 0.250 0.772
0.813 0.750 0.344
0.187 0.250 0.656
0.762 0.750 0.082
0.632 0.250 0.376
0.023 0.250 0.378
0.977 0.750 0.622
0.368 0.750 0.624
0.238 0.250 0.918
```

Computed properties:
space group	P2_1/m
E	-4.65	eV per atom

11.
An optimized crystal structure of CsAgMoSe3. Source: the Open Quantum Materials Database, functional PBE.

Structure (POSCAR):
```
CsAgMoSe3
1.0
5.723 4.617 -4.005
-5.942 -1.097 5.796
7.142 -2.992 6.755
Ag Cs Mo Se
2 2 2 6
direct
0.541 0.459 0.250
0.459 0.541 0.750
0.244 0.756 0.250
0.756 0.244 0.750
0.000 0.000 0.000
0.000 0.000 0.500
0.608 0.392 0.026
0.936 0.064 0.250
0.608 0.392 0.474
0.392 0.608 0.526
0.064 0.936 0.750
0.392 0.608 0.974
```

Computed properties:
space group	Cmcm
E	-4.57	eV per atom

12.
An optimized crystal structure of CsAg3MoSe4. Source: the Open Quantum Materials Database, functional PBE.

Structure (POSCAR):
```
CsAg3MoSe4
1.0
-6.289 1.547 1.165
-1.881 -5.823 -2.421
0.462 -2.647 6.007
Ag Cs Mo Se
3 1 1 4
direct
0.500 0.500 0.000
0.500 0.000 0.500
0.000 0.500 0.500
0.000 0.000 0.000
0.500 0.500 0.500
0.286 0.286 0.286
0.714 0.714 0.286
0.714 0.286 0.714
0.286 0.714 0.714
```

Computed properties:
space group	P-43m
E	-4.11	eV per atom

13.
An optimized crystal structure of Cs2AgMoSe4. Source: the Open Quantum Materials Database, functional PBE.

Structure (POSCAR):
```
Cs2AgMoSe4
1.0
-6.771 -10.291 7.956
-10.631 -3.432 6.804
-0.589 -7.272 -3.169
Ag Cs Mo Se
2 4 2 8
direct
0.500 0.500 0.500
0.750 0.750 0.750
0.430 0.430 0.070
0.820 0.820 0.180
0.070 0.070 0.430
0.180 0.180 0.820
0.000 0.000 0.000
0.250 0.250 0.250
0.742 0.368 0.064
0.508 0.882 0.186
0.826 0.064 0.368
0.882 0.508 0.424
0.186 0.424 0.508
0.064 0.826 0.742
0.368 0.742 0.826
0.424 0.186 0.882
```

Computed properties:
space group	Fddd
E	-4.40	eV per atom

14.
An optimized crystal structure of Cs2Ag2MoSe4. Source: the Open Quantum Materials Database, functional PBE.

Structure (POSCAR):
```
Cs2Ag2MoSe4
1.0
3.190 -7.188 0.000
3.190 7.188 0.000
0.000 0.000 6.341
Ag Cs Mo Se
2 2 1 4
direct
0.500 0.500 0.000
0.000 0.000 0.500
0.500 0.000 0.263
0.000 0.500 0.737
0.000 0.000 0.000
0.120 0.323 0.221
0.880 0.677 0.221
0.323 0.120 0.779
0.677 0.880 0.779
```

Computed properties:
space group	C222
E	-4.16	eV per atom

15.
An optimized crystal structure of CsAgTe2MoSe. Source: the Open Quantum Materials Database, functional PBE.

Structure (POSCAR):
```
CsAgTe2MoSe
1.0
2.083 -8.513 0.000
2.083 8.513 0.000
0.000 0.000 10.543
Ag Cs Mo Se Te
2 2 2 2 4
direct
0.535 0.465 0.250
0.465 0.535 0.750
0.246 0.754 0.250
0.754 0.246 0.750
0.000 0.000 0.000
0.000 0.000 0.500
0.940 0.060 0.250
0.060 0.940 0.750
0.612 0.388 0.026
0.612 0.388 0.474
0.388 0.612 0.526
0.388 0.612 0.974
```

Computed properties:
space group	Cmcm
E	-4.31	eV per atom

16.
An optimized crystal structure of CsAgTeMoSe2. Source: the Open Quantum Materials Database, functional PBE.

Structure (POSCAR):
```
CsAgTeMoSe2
1.0
-0.578 7.757 -3.894
-2.886 -6.352 5.196
4.931 4.511 8.253
Ag Cs Mo Se Te
2 2 2 4 2
direct
0.043 0.957 0.250
0.957 0.043 0.750
0.733 0.267 0.250
0.267 0.733 0.750
0.500 0.500 0.000
0.500 0.500 0.500
0.104 0.896 0.029
0.104 0.896 0.471
0.896 0.104 0.529
0.896 0.104 0.971
0.428 0.572 0.250
0.572 0.428 0.750
```

Computed properties:
space group	Cmcm
E	-4.47	eV per atom

17.
An optimized crystal structure of CsAgNO. Source: the Open Quantum Materials Database, functional PBE.

Structure (POSCAR):
```
CsAgNO
1.0
-1.886 -3.266 0.000
0.000 0.000 6.674
-5.943 3.431 0.000
Ag Cs N O
2 2 2 2
direct
0.500 0.001 0.194
0.500 0.501 0.806
0.000 0.502 0.249
0.000 0.002 0.751
0.000 0.999 0.282
0.000 0.499 0.718
0.500 0.252 0.002
0.500 0.752 0.998
```

Computed properties:
space group	Pmc2_1
E	-3.70	eV per atom

18.
An optimized crystal structure of CsAgNO. Source: the Open Quantum Materials Database, functional PBE.

Structure (POSCAR):
```
CsAgNO
1.0
4.802 -4.151 0.000
4.802 4.151 0.000
-0.040 0.000 4.002
Ag Cs N O
2 2 2 2
direct
0.815 0.815 0.035
0.318 0.318 0.041
0.814 0.311 0.492
0.311 0.814 0.492
0.792 0.792 0.530
0.295 0.295 0.535
0.577 0.078 0.937
0.078 0.577 0.937
```

Computed properties:
space group	Cm
E	-3.68	eV per atom

19.
An optimized crystal structure of CsAgNO. Source: the Open Quantum Materials Database, functional PBE.

Structure (POSCAR):
```
CsAgNO
1.0
-3.336 -1.357 2.082
2.234 -0.110 3.507
-2.810 10.142 2.107
Ag Cs N O
2 2 2 2
direct
0.500 0.000 0.500
0.000 0.500 0.500
0.000 0.000 0.179
0.500 0.500 0.821
0.500 0.500 0.448
0.000 0.000 0.552
0.500 0.000 0.000
0.000 0.500 0.000
```

Computed properties:
space group	P4/nmm
E	-3.52	eV per atom

20.
An optimized crystal structure of CsAgNO. Source: the Open Quantum Materials Database, functional PBE.

Structure (POSCAR):
```
CsAgNO
1.0
6.021 0.000 0.000
0.000 6.446 0.000
0.000 0.000 8.612
Ag Cs N O
4 4 4 4
direct
0.988 0.905 0.099
0.488 0.595 0.099
0.488 0.095 0.901
0.988 0.405 0.901
0.501 0.053 0.326
0.001 0.447 0.326
0.001 0.947 0.674
0.501 0.553 0.674
0.009 0.971 0.317
0.509 0.529 0.318
0.509 0.029 0.682
0.009 0.471 0.683
0.800 0.165 0.016
0.300 0.335 0.016
0.300 0.835 0.984
0.800 0.665 0.984
```

Computed properties:
space group	Pca2_1
E	-3.53	eV per atom

21.
An optimized crystal structure of CsAgNO. Source: the Open Quantum Materials Database, functional PBE.

Structure (POSCAR):
```
CsAgNO
1.0
4.875 0.000 0.000
0.000 4.875 0.000
0.000 0.000 6.600
Ag Cs N O
2 2 2 2
direct
0.750 0.750 0.023
0.250 0.250 0.977
0.750 0.250 0.500
0.250 0.750 0.500
0.750 0.750 0.328
0.250 0.250 0.672
0.750 0.250 0.000
0.250 0.750 0.000
```

Computed properties:
space group	P4/nmm
E	-3.22	eV per atom

22.
An optimized crystal structure of CsAgNO. Source: the Open Quantum Materials Database, functional PBE.

Structure (POSCAR):
```
CsAgNO
1.0
-0.675 3.695 -0.037
-6.327 -1.141 1.410
1.471 0.338 6.875
Ag Cs N O
2 2 2 2
direct
0.000 0.500 0.340
0.000 0.000 0.660
0.500 0.006 0.204
0.500 0.506 0.796
0.000 0.754 0.493
0.000 0.254 0.507
0.500 0.494 0.205
0.500 0.994 0.795
```

Computed properties:
space group	Pmc2_1
E	-3.68	eV per atom